--- i ---
## ScSiP2Cl (PBE)

Data for crystalline ScSiP2Cl at its relaxed geometry.

extended XYZ file:
```
5
Lattice="5.028 0.000 0.000 0.000 5.028 0.000 0.000 0.000 4.764" Properties=species:S:1:pos:R:3 pbc="T T T"
Sc 0.000 0.000 0.000
Si 2.514 2.514 2.382
P 0.000 2.514 0.000
P 2.514 0.000 0.000
Cl 0.000 0.000 2.382
```

Summary:
- magnetization (μB/f.u.) = 0.0

***

--- ii ---
## ScSiP2Cl (PBE)

Data for crystalline ScSiP2Cl at its relaxed geometry.

extended XYZ file:
```
5
Lattice="4.572 0.000 0.000 0.000 4.572 0.000 0.000 0.000 4.630" Properties=species:S:1:pos:R:3 pbc="T T T"
Sc 0.000 0.000 0.000
Si 2.286 2.286 2.315
P 0.000 2.286 2.315
P 2.286 0.000 2.315
Cl 2.286 2.286 0.000
```

Summary:
- magnetization (μB/f.u.) = 0.0

***

Least stable of them? i.

***

--- i ---
## ScSnP2Cl (PBE)

Data for crystalline ScSnP2Cl at its relaxed geometry.

extended XYZ file:
```
5
Lattice="5.032 0.000 0.000 0.000 5.032 0.000 0.000 0.000 4.883" Properties=species:S:1:pos:R:3 pbc="T T T"
Sc 0.000 0.000 0.000
Sn 2.516 2.516 2.441
P 0.000 2.516 0.000
P 2.516 0.000 0.000
Cl 0.000 0.000 2.441
```

Summary:
- magnetization (μB/f.u.) = 0.0

***

--- ii ---
## ScSnP2Cl (PBE)

Data for crystalline ScSnP2Cl at its relaxed geometry.

extended XYZ file:
```
5
Lattice="5.027 0.000 0.000 0.000 5.027 0.000 0.000 0.000 4.972" Properties=species:S:1:pos:R:3 pbc="T T T"
Sc 0.000 0.000 0.000
Sn 2.514 2.514 2.486
P 0.000 2.514 2.486
P 2.514 0.000 2.486
Cl 2.514 2.514 0.000
```

Summary:
- magnetization (μB/f.u.) = 0.0

***

Least stable of them? ii.

***

--- i ---
## SrScP2Cl (PBE)

Data for crystalline SrScP2Cl at its relaxed geometry.

extended XYZ file:
```
5
Lattice="4.945 0.000 0.000 0.000 4.945 0.000 0.000 0.000 5.207" Properties=species:S:1:pos:R:3 pbc="T T T"
Sr 0.000 0.000 0.000
Sc 2.472 2.472 2.603
P 0.000 2.472 2.603
P 2.472 0.000 2.603
Cl 2.472 2.472 0.000
```

Summary:
- magnetization (μB/f.u.) = 0.0

***

--- ii ---
## SrScP2Cl (PBE)

Data for crystalline SrScP2Cl at its relaxed geometry.

extended XYZ file:
```
5
Lattice="5.401 0.000 0.000 0.000 5.401 0.000 0.000 0.000 5.196" Properties=species:S:1:pos:R:3 pbc="T T T"
Sr 0.000 0.000 0.000
Sc 2.701 2.701 2.598
P 0.000 2.701 0.000
P 2.701 0.000 0.000
Cl 0.000 0.000 2.598
```

Summary:
- magnetization (μB/f.u.) = 0.0

***

Least stable of them? ii.

***

--- i ---
## ScTaP2Cl (PBE)

Data for crystalline ScTaP2Cl at its relaxed geometry.

extended XYZ file:
```
5
Lattice="4.950 0.000 0.000 0.000 4.950 0.000 0.000 0.000 4.596" Properties=species:S:1:pos:R:3 pbc="T T T"
Sc 0.000 0.000 0.000
Ta 2.475 2.475 2.298
P 0.000 2.475 0.000
P 2.475 0.000 0.000
Cl 0.000 0.000 2.298
```

Summary:
- magnetization (μB/f.u.) = 1.9

***

--- ii ---
## ScTaP2Cl (PBE)

Data for crystalline ScTaP2Cl at its relaxed geometry.

extended XYZ file:
```
5
Lattice="4.873 0.000 0.000 0.000 4.873 0.000 0.000 0.000 4.646" Properties=species:S:1:pos:R:3 pbc="T T T"
Sc 0.000 0.000 0.000
Ta 2.436 2.436 2.323
P 0.000 2.436 2.323
P 2.436 0.000 2.323
Cl 2.436 2.436 0.000
```

Summary:
- magnetization (μB/f.u.) = 0.0

***

Least stable of them? i.

***

--- i ---
## ScTaPCl2 (PBE)

Data for crystalline ScTaPCl2 at its relaxed geometry.

extended XYZ file:
```
5
Lattice="4.737 0.000 0.000 0.000 4.737 0.000 0.000 0.000 5.032" Properties=species:S:1:pos:R:3 pbc="T T T"
Sc 0.000 0.000 0.000
Ta 2.368 2.368 2.516
P 2.368 2.368 0.000
Cl 0.000 2.368 2.516
Cl 2.368 0.000 2.516
```

Summary:
- magnetization (μB/f.u.) = 1.4

***

--- ii ---
## ScTaPCl2 (PBE)

Data for crystalline ScTaPCl2 at its relaxed geometry.

extended XYZ file:
```
5
Lattice="4.671 0.000 0.000 0.000 4.671 0.000 0.000 0.000 5.492" Properties=species:S:1:pos:R:3 pbc="T T T"
Sc 0.000 0.000 0.000
Ta 2.336 2.336 2.746
P 0.000 0.000 2.746
Cl 0.000 2.336 0.000
Cl 2.336 0.000 0.000
```

Summary:
- magnetization (μB/f.u.) = 3.0

***

Least stable of them? ii.

***

--- i ---
## ScTeP2Cl (PBE)

Data for crystalline ScTeP2Cl at its relaxed geometry.

extended XYZ file:
```
5
Lattice="5.107 0.000 0.000 0.000 5.107 0.000 0.000 0.000 4.975" Properties=species:S:1:pos:R:3 pbc="T T T"
Sc 0.000 0.000 0.000
Te 2.554 2.554 2.488
P 0.000 2.554 2.488
P 2.554 0.000 2.488
Cl 2.554 2.554 0.000
```

Summary:
- magnetization (μB/f.u.) = 0.0

***

--- ii ---
## ScTeP2Cl (PBE)

Data for crystalline ScTeP2Cl at its relaxed geometry.

extended XYZ file:
```
5
Lattice="5.149 0.000 0.000 0.000 5.149 0.000 0.000 0.000 4.691" Properties=species:S:1:pos:R:3 pbc="T T T"
Sc 0.000 0.000 0.000
Te 2.574 2.574 2.345
P 0.000 2.574 0.000
P 2.574 0.000 0.000
Cl 0.000 0.000 2.345
```

Summary:
- magnetization (μB/f.u.) = 0.0

***

Least stable of them? i.

***

--- i ---
## ScTiP2Cl (PBE)

Data for crystalline ScTiP2Cl at its relaxed geometry.

extended XYZ file:
```
5
Lattice="4.933 0.000 0.000 0.000 4.933 0.000 0.000 0.000 4.799" Properties=species:S:1:pos:R:3 pbc="T T T"
Sc 0.000 0.000 0.000
Ti 2.466 2.466 2.399
P 0.000 2.466 0.000
P 2.466 0.000 0.000
Cl 0.000 0.000 2.399
```

Summary:
- magnetization (μB/f.u.) = 1.6

***

--- ii ---
## ScTiP2Cl (PBE)

Data for crystalline ScTiP2Cl at its relaxed geometry.

extended XYZ file:
```
5
Lattice="4.762 0.000 0.000 0.000 4.762 0.000 0.000 0.000 4.565" Properties=species:S:1:pos:R:3 pbc="T T T"
Sc 0.000 0.000 0.000
Ti 2.381 2.381 2.283
P 0.000 2.381 2.283
P 2.381 0.000 2.283
Cl 2.381 2.381 0.000
```

Summary:
- magnetization (μB/f.u.) = 0.0

***

Least stable of them? i.

***

--- i ---
## ScVPCl2 (PBE)

Data for crystalline ScVPCl2 at its relaxed geometry.

extended XYZ file:
```
5
Lattice="4.589 0.000 0.000 0.000 4.589 0.000 0.000 0.000 5.032" Properties=species:S:1:pos:R:3 pbc="T T T"
Sc 0.000 0.000 0.000
V 2.295 2.295 2.516
P 2.295 2.295 0.000
Cl 0.000 2.295 2.516
Cl 2.295 0.000 2.516
```

Summary:
- magnetization (μB/f.u.) = 3.0

***

--- ii ---
## ScVPCl2 (PBE)

Data for crystalline ScVPCl2 at its relaxed geometry.

extended XYZ file:
```
5
Lattice="4.787 0.000 0.000 0.000 4.787 0.000 0.000 0.000 5.324" Properties=species:S:1:pos:R:3 pbc="T T T"
Sc 0.000 0.000 0.000
V 2.393 2.393 2.662
P 0.000 0.000 2.662
Cl 0.000 2.393 0.000
Cl 2.393 0.000 0.000
```

Summary:
- magnetization (μB/f.u.) = 3.0

***

Least stable of them? ii.

***

--- i ---
## YScP2Cl (PBE)

Data for crystalline YScP2Cl at its relaxed geometry.

extended XYZ file:
```
5
Lattice="5.272 0.000 0.000 0.000 5.272 0.000 0.000 0.000 4.981" Properties=species:S:1:pos:R:3 pbc="T T T"
Y 0.000 0.000 0.000
Sc 2.636 2.636 2.490
P 0.000 2.636 0.000
P 2.636 0.000 0.000
Cl 0.000 0.000 2.490
```

Summary:
- magnetization (μB/f.u.) = 0.0

***

--- ii ---
## YScP2Cl (PBE)

Data for crystalline YScP2Cl at its relaxed geometry.

extended XYZ file:
```
5
Lattice="4.973 0.000 0.000 0.000 4.973 0.000 0.000 0.000 4.753" Properties=species:S:1:pos:R:3 pbc="T T T"
Y 0.000 0.000 0.000
Sc 2.486 2.486 2.376
P 0.000 2.486 2.376
P 2.486 0.000 2.376
Cl 2.486 2.486 0.000
```

Summary:
- magnetization (μB/f.u.) = 0.0

***

Least stable of them? i.

***

--- i ---
## ZrScP2Cl (PBE)

Data for crystalline ZrScP2Cl at its relaxed geometry.

extended XYZ file:
```
5
Lattice="4.958 0.000 0.000 0.000 4.958 0.000 0.000 0.000 4.585" Properties=species:S:1:pos:R:3 pbc="T T T"
Zr 0.000 0.000 0.000
Sc 2.479 2.479 2.292
P 0.000 2.479 2.292
P 2.479 0.000 2.292
Cl 2.479 2.479 0.000
```

Summary:
- magnetization (μB/f.u.) = 0.0

***

--- ii ---
## ZrScP2Cl (PBE)

Data for crystalline ZrScP2Cl at its relaxed geometry.

extended XYZ file:
```
5
Lattice="5.057 0.000 0.000 0.000 5.057 0.000 0.000 0.000 4.791" Properties=species:S:1:pos:R:3 pbc="T T T"
Zr 0.000 0.000 0.000
Sc 2.529 2.529 2.396
P 0.000 2.529 0.000
P 2.529 0.000 0.000
Cl 0.000 0.000 2.396
```

Summary:
- magnetization (μB/f.u.) = 0.0

***

Least stable of them? i.

***

--- i ---
## PSeCl2 (PBE)

Data for crystalline PSeCl2 at its relaxed geometry.

extended XYZ file:
```
4
Lattice="4.265 0.000 0.000 0.000 4.265 0.000 0.000 0.000 4.217" Properties=species:S:1:pos:R:3 pbc="T T T"
P 0.000 0.000 0.000
Se 2.132 2.132 0.000
Cl 0.000 2.132 2.109
Cl 2.132 0.000 2.109
```

Summary:
- magnetization (μB/f.u.) = 0.0

***

--- ii ---
## PSeCl2 (PBE)

Data for crystalline PSeCl2 at its relaxed geometry.

extended XYZ file:
```
4
Lattice="3.026 0.000 0.000 0.000 4.148 0.000 0.000 0.000 6.105" Properties=species:S:1:pos:R:3 pbc="T T T"
P 0.000 0.000 0.000
Se 0.000 0.000 3.052
Cl 1.513 2.074 1.448
Cl 1.513 2.074 4.657
```

Summary:
- magnetization (μB/f.u.) = 0.0

***

Least stable of them? i.

***

--- i ---
## PSeCl2 (PBE)

Data for crystalline PSeCl2 at its relaxed geometry.

extended XYZ file:
```
4
Lattice="1.566 -2.853 0.000 1.566 2.853 0.000 0.000 0.000 11.885" Properties=species:S:1:pos:R:3 pbc="T T T"
P 0.000 0.000 0.000
Se 0.000 0.000 5.943
Cl 1.566 0.000 1.798
Cl 1.566 0.000 10.087
```

Summary:
- magnetization (μB/f.u.) = 0.4

***

--- ii ---
## PSeCl2 (PBE)

Data for crystalline PSeCl2 at its relaxed geometry.

extended XYZ file:
```
4
Lattice="-2.362 2.362 3.335 2.362 -2.362 3.335 2.362 2.362 -3.335" Properties=species:S:1:pos:R:3 pbc="T T T"
P 0.000 0.000 0.000
Se 0.000 2.362 1.668
Cl 2.362 0.000 1.668
Cl 0.000 0.000 3.335
```

Summary:
- magnetization (μB/f.u.) = 0.0

***

--- iii ---
## PSeCl2 (PBE)

Data for crystalline PSeCl2 at its relaxed geometry.

extended XYZ file:
```
4
Lattice="1.782 1.029 8.585 -1.782 1.029 8.585 0.000 -2.058 8.585" Properties=species:S:1:pos:R:3 pbc="T T T"
P 0.000 0.000 0.000
Se 0.000 0.000 18.559
Cl 0.000 0.000 6.884
Cl 0.000 0.000 11.966
```

Summary:
- magnetization (μB/f.u.) = 0.0

***

Least stable of them? ii.